(1)
Material: Ba6HS5
Method: DFT, PBE-GGA
State: relaxed

Unit cell a=7.824 b=7.817 c=7.819 alpha=60.01 beta=80.41 gamma=70.52
Fractional coordinates of all 12 atoms:
S (0.000, 0.333, 0.333)
S (0.500, 0.167, 0.666)
S (0.000, 0.667, 0.667)
S (0.500, 0.833, 0.334)
S (0.500, 0.500, 0.000)
H (0.000, 0.000, 0.000)
Ba (0.252, 0.916, 0.662)
Ba (0.252, 0.578, 0.338)
Ba (0.747, 0.747, 0.000)
Ba (0.748, 0.084, 0.338)
Ba (0.253, 0.253, 0.000)
Ba (0.748, 0.422, 0.662)

## Properties
The value obtained for the raw total energy is -0.3476 Ry/atom. Its space group is C2/m (12).


(2)
Material: BaSr6Cd2
Method: DFT, PBE-GGA
State: relaxed

Unit cell a=4.215 b=7.677 c=13.751 alpha=78.41 beta=81.18 gamma=74.07
Fractional coordinates of all 9 atoms:
Ba (0.000, 0.000, 0.000)
Sr (0.035, 0.248, 0.682)
Sr (0.698, 0.475, 0.129)
Sr (0.965, 0.752, 0.318)
Sr (0.326, 0.762, 0.587)
Sr (0.674, 0.238, 0.413)
Sr (0.302, 0.525, 0.871)
Cd (0.335, 0.111, 0.220)
Cd (0.665, 0.889, 0.780)

## Properties
The calculation puts the polymorph energy (0 for the lowest one) at 0 meV per atom. For the formation energy, the calculation gives -0.129 eV per atom. Its space group is C2/m (12).


(3)
Material: LuPuIrPb
Method: DFT, PBE-GGA
State: relaxed

Unit cell a=5.096 b=5.096 c=5.096 alpha=60.00 beta=60.00 gamma=60.00
Each line ends with the local moment (μB).
Fractional coordinates of all 4 atoms:
Pu (0.750, 0.750, 0.750)  5.21
Ir (0.000, 0.000, 0.000)  -0.29
Pb (0.500, 0.500, 0.500)  -0.05
Lu (0.250, 0.250, 0.250)  0.04

## Properties
For the formation energy, the calculation gives -0.260 eV per atom. Its space group is F-43m (216).


(4)
Material: TlTcH2Cl8
Method: DFT, PBE-GGA
State: relaxed

Unit cell a=6.860 b=6.861 c=7.887 alpha=86.82 beta=86.79 gamma=79.08
Each line ends with the local moment (μB).
Fractional coordinates of all 12 atoms:
Cl (0.799, 0.179, 0.789)  -0.01
Cl (0.223, 0.224, 0.960)  0.08
Cl (0.713, 0.713, 0.464)  -0.01
Cl (0.820, 0.201, 0.211)  -0.01
Cl (0.777, 0.776, 0.040)  0.08
Cl (0.180, 0.799, 0.789)  -0.01
Cl (0.201, 0.821, 0.211)  -0.01
Cl (0.287, 0.287, 0.536)  -0.01
H (0.736, 0.736, 0.294)  0.00
H (0.264, 0.264, 0.706)  0.00
Tl (0.000, 0.000, 0.500)  -0.11
Tc (0.000, 0.000, 0.000)  1.92

## Properties
The value obtained for the raw total energy is -0.2579 Ry/atom. Its space group is C2/m (12).


(5)
Material: CaNb3Pb
Method: DFT, PBE-GGA
State: relaxed

Unit cell a=4.851 b=4.851 c=4.851 alpha=90.00 beta=90.00 gamma=90.00
Fractional coordinates of all 5 atoms:
Nb (0.000, 0.500, 0.000)
Nb (0.500, 0.000, 0.000)
Nb (0.000, 0.000, 0.500)
Pb (0.500, 0.500, 0.500)
Ca (0.000, 0.000, 0.000)

## Properties
The calculation puts the polymorph energy (0 for the lowest one) at 391 meV per atom. For the formation energy, the calculation gives 2.017 eV per atom. Its space group is Pm-3m (221).


(6)
Material: Tb7Sm12Sc
Method: DFT, PBE-GGA
State: relaxed

Unit cell a=6.159 b=11.455 c=11.455 alpha=116.86 beta=100.33 gamma=100.33
Fractional coordinates of all 20 atoms:
Sm (0.065, 0.646, 0.647)
Sm (0.913, 0.827, 0.413)
Sm (0.500, 0.587, 0.413)
Sm (0.419, 0.000, 0.354)
Sm (0.087, 0.173, 0.587)
Sm (0.935, 0.354, 0.353)
Sm (0.087, 0.587, 0.173)
Sm (0.419, 0.353, 0.000)
Sm (0.500, 0.413, 0.587)
Sm (0.581, 0.000, 0.646)
Sm (0.913, 0.413, 0.827)
Sm (0.581, 0.647, 0.000)
Tb (0.500, 0.000, 0.000)
Tb (0.362, 0.242, 0.242)
Tb (0.880, 0.242, 0.000)
Tb (0.120, 0.000, 0.758)
Tb (0.880, 0.000, 0.242)
Tb (0.638, 0.758, 0.758)
Tb (0.120, 0.758, 0.000)
Sc (0.000, 0.000, 0.000)

## Properties
The calculation puts the polymorph energy (0 for the lowest one) at 109 meV per atom. For the formation energy, the calculation gives 0.216 eV per atom. Its space group is R-3m (166).


(7)
Material: RbSbI3
Method: DFT, PBE-GGA
State: relaxed

Unit cell a=6.796 b=6.796 c=6.796 alpha=90.00 beta=90.00 gamma=90.00
Each line ends with the local moment (μB).
Fractional coordinates of all 5 atoms:
I (0.000, 0.500, 0.000)  -0.19
I (0.500, 0.000, 0.000)  -0.24
I (0.000, 0.000, 0.500)  -0.26
Rb (0.000, 0.000, 0.000)  0.00
Sb (0.500, 0.500, 0.500)  0.83

## Properties
The calculation puts the polymorph energy (0 for the lowest one) at 980 meV per atom. Its space group is Pm-3m (221). The formation energy (no corrections) is 0.265 eV/atom.


(8)
Material: Fe2MoAu
Method: DFT, PBE-GGA
State: relaxed

Unit cell a=4.342 b=2.638 c=5.167 alpha=84.35 beta=90.00 gamma=90.00
Each line ends with the local moment (μB).
Fractional coordinates of all 4 atoms:
Fe (0.000, 0.970, 0.030)  2.56
Fe (0.000, 0.530, 0.470)  2.56
Au (0.500, 0.750, 0.750)  0.04
Mo (0.500, 0.250, 0.250)  -0.24

## Properties
The calculation puts the polymorph energy (0 for the lowest one) at 113 meV per atom. For the formation energy, the calculation gives 0.274 eV per atom. Its space group is P2/m (10).